(i)
5
Lattice="5.5276 0.0000 0.0000 0.0000 5.5276 0.0000 0.0000 0.0000 5.5276" Properties=species:S:1:pos:R:3 comment="Mg3CrBi, relaxed, DFT PBE-GGA" m_tot_mub_per_fu=4.78 vol_a3_per_cell=169 pbc="T T T"
Mg 2.7638 0.0000 0.0000
Mg 0.0000 0.0000 2.7638
Bi 0.0000 0.0000 0.0000
Mg 0.0000 2.7638 0.0000
Cr 2.7638 2.7638 2.7638

(ii)
5
Lattice="-1.1661 -3.9314 3.1782 4.8973 -0.0691 1.7114 -1.2545 3.3847 3.7265" Properties=species:S:1:pos:R:3 comment="Mg3CrBi, relaxed, DFT PBE-GGA" m_tot_mub_per_fu=4.46 vol_a3_per_cell=140 pbc="T T T"
Cr 0.0000 0.0000 0.0000
Mg -0.6273 1.6923 1.8633
Bi 1.2383 -0.3079 4.3081
Mg 2.4486 -0.0345 0.8557
Mg -0.5830 -1.9657 1.5891

Which structure is most stable, and how do the rest compare? From most to least stable: (ii), (i).

(i)
4
Lattice="-4.4609 -2.0150 0.0919 -3.9457 2.7454 -0.9286 -2.4905 -0.6241 -4.1684" Properties=species:S:1:pos:R:3 comment="MgCr2Bi, relaxed, DFT PBE-GGA" m_tot_mub_per_fu=8.40 vol_a3_per_cell=83 pbc="T T T"
Bi -5.4485 0.0532 -2.5025
Cr -2.7243 0.0266 -1.2513
Mg 0.0000 0.0000 0.0000
Cr -8.1728 0.0798 -3.7538

(ii)
8
Lattice="-4.0199 4.4767 -4.8958 -5.0146 -5.7983 -1.1845 -6.2275 0.3438 -0.7173" Properties=species:S:1:pos:R:3 comment="MgCr2Bi, relaxed, DFT PBE-GGA" m_tot_mub_per_fu=7.95 vol_a3_per_cell=184 pbc="T T T"
Cr -4.7017 2.1653 -3.3940
Bi 0.0000 0.0000 0.0000
Mg -7.8796 -3.0576 -2.4710
Cr -5.1879 -2.9846 -1.5248
Bi -7.3823 2.0798 -4.3266
Cr -8.0516 -0.2297 -2.8164
Mg -4.5172 -0.6608 -3.0401
Cr -12.5827 -0.9066 -5.8599

Which structure is most stable, and how do the rest compare? From most to least stable: (i), (ii).

(i)
4
Lattice="0.0000 3.4819 3.4819 3.4819 0.0000 3.4819 3.4819 3.4819 0.0000" Properties=species:S:1:pos:R:3 comment="CrBi2Mo, relaxed, DFT PBE-GGA" m_tot_mub_per_fu=2.78 vol_a3_per_cell=84 pbc="T T T"
Bi 1.7409 1.7409 1.7409
Cr 0.0000 0.0000 0.0000
Mo 3.4819 3.4819 3.4819
Bi 5.2228 5.2228 5.2228

(ii)
8
Lattice="7.7737 0.0000 0.0000 0.0000 7.7737 0.0000 3.8868 3.8868 3.2289" Properties=species:S:1:pos:R:3 comment="CrBi2Mo, relaxed, DFT PBE-GGA" m_tot_mub_per_fu=5.97 vol_a3_per_cell=195 pbc="T T T"
Bi 5.8255 1.9434 0.8072
Cr 3.8868 7.7737 1.6144
Bi 1.9482 5.8303 0.8072
Mo 7.7737 3.8868 1.6144
Bi 5.8303 5.8351 2.4217
Bi 9.7171 9.7123 2.4217
Mo 0.0000 0.0000 0.0000
Cr 3.8868 3.8868 0.0000

Which structure is most stable, and how do the rest compare? From most to least stable: (i), (ii).

(i)
6
Lattice="2.9428 0.0000 0.0007 0.0000 4.3516 0.0000 -1.4604 0.0000 7.4537" Properties=species:S:1:pos:R:3 comment="Cr2BiMoOsRh, relaxed, DFT PBE-GGA" m_tot_mub_per_fu=0.00 vol_a3_per_cell=95 pbc="T T T"
Mo 1.5920 0.0000 5.5655
Os 1.5753 0.0000 0.3003
Rh 0.1017 0.0000 2.6398
Cr -1.3566 2.1758 7.2867
Bi 0.1221 2.1758 4.3353
Cr 1.5711 2.1758 1.5790

(ii)
6
Lattice="2.9534 0.0001 0.0107 0.0013 4.0674 -0.0038 0.1130 1.9987 8.4953" Properties=species:S:1:pos:R:3 comment="Cr2BiMoOsRh, relaxed, DFT PBE-GGA" m_tot_mub_per_fu=0.00 vol_a3_per_cell=102 pbc="T T T"
Os 0.5185 0.6487 1.1345
Cr 0.5913 4.6761 7.0565
Cr 1.7755 2.6793 0.5180
Bi 2.0677 4.6707 3.6982
Rh 0.6167 2.6385 5.0707
Mo 2.0826 2.6440 7.2752

Which structure is most stable, and how do the rest compare? From most to least stable: (i), (ii).

(i)
5
Lattice="5.0362 0.0000 0.0000 0.0000 5.0362 0.0000 0.0000 0.0000 5.0362" Properties=species:S:1:pos:R:3 comment="CrBi3N, relaxed, DFT PBE-GGA" m_tot_mub_per_fu=0.00 vol_a3_per_cell=128 pbc="T T T"
N 2.5181 2.5181 2.5181
Bi 0.0000 0.0000 2.5181
Bi 2.5181 0.0000 0.0000
Cr 0.0000 0.0000 0.0000
Bi 0.0000 2.5181 0.0000

(ii)
5
Lattice="-4.3082 -1.8140 -1.3590 1.5454 -4.4860 1.0887 -1.6580 0.5320 4.5459" Properties=species:S:1:pos:R:3 comment="CrBi3N, relaxed, DFT PBE-GGA" m_tot_mub_per_fu=0.63 vol_a3_per_cell=115 pbc="T T T"
Bi -2.1541 -0.9070 -0.6795
Bi -0.8290 0.2660 2.2730
Bi 0.7727 -2.2430 0.5443
Cr -2.2104 -2.8840 2.1378
N 0.0000 0.0000 0.0000

Which structure is most stable, and how do the rest compare? From most to least stable: (ii), (i).

(i)
5
Lattice="-3.6156 -2.5964 -2.7812 -1.6721 -2.3620 4.3788 -2.8071 3.2052 0.6571" Properties=species:S:1:pos:R:3 comment="CrBiS2N, relaxed, DFT PBE-GGA" m_tot_mub_per_fu=3.06 vol_a3_per_cell=119 pbc="T T T"
S -0.8360 -1.1810 2.1894
S -1.8078 -1.2982 -1.3906
Bi 0.0000 0.0000 0.0000
N -1.4036 1.6026 0.3285
Cr -4.0474 -0.8766 1.1273

(ii)
5
Lattice="-4.0758 -2.6384 -0.5316 2.5531 -4.0954 0.7516 -0.6299 0.2583 3.5474" Properties=species:S:1:pos:R:3 comment="CrBiS2N, relaxed, DFT PBE-GGA" m_tot_mub_per_fu=1.58 vol_a3_per_cell=86 pbc="T T T"
Bi -1.0763 -3.2377 1.8837
S 1.2765 -2.0477 0.3758
N -0.3150 0.1292 1.7737
S -2.0379 -1.3192 -0.2658
Cr 0.0000 0.0000 0.0000

Which structure is most stable, and how do the rest compare? From most to least stable: (ii), (i).

(i)
5
Lattice="-2.7231 -0.6766 2.7221 1.1946 -3.7124 0.2723 3.2584 1.3116 3.5855" Properties=species:S:1:pos:R:3 comment="CrBiSeN2, relaxed, DFT PBE-GGA" m_tot_mub_per_fu=0.00 vol_a3_per_cell=77 pbc="T T T"
N -1.3615 -0.3383 1.3611
Bi 0.8650 -1.5387 3.2900
Se 1.6292 0.6558 1.7928
Cr 0.0000 0.0000 0.0000
N 0.5973 -1.8562 0.1362

(ii)
5
Lattice="4.2268 0.0000 0.0000 0.0000 4.2268 0.0000 0.0000 0.0000 5.7139" Properties=species:S:1:pos:R:3 comment="CrBiSeN2, relaxed, DFT PBE-GGA" m_tot_mub_per_fu=1.27 vol_a3_per_cell=102 pbc="T T T"
Bi 0.0000 0.0000 0.0000
Cr 2.1134 2.1134 2.8570
Se 0.0000 0.0000 2.8570
N 2.1134 0.0000 0.0000
N 0.0000 2.1134 0.0000

Which structure is most stable, and how do the rest compare? From most to least stable: (i), (ii).

(i)
5
Lattice="4.2849 0.0000 0.0000 0.0000 4.2849 0.0000 0.0000 0.0000 6.6132" Properties=species:S:1:pos:R:3 comment="CrBiTeN2, relaxed, DFT PBE-GGA" m_tot_mub_per_fu=6.05 vol_a3_per_cell=121 pbc="T T T"
Te 0.0000 0.0000 3.3066
Cr 2.1425 2.1425 3.3066
Bi 0.0000 0.0000 0.0000
N 0.0000 2.1425 0.0000
N 2.1425 0.0000 0.0000

(ii)
5
Lattice="-3.4929 -2.0650 0.4103 1.1010 -2.4691 -3.0535 2.4187 -3.3756 3.6016" Properties=species:S:1:pos:R:3 comment="CrBiTeN2, relaxed, DFT PBE-GGA" m_tot_mub_per_fu=0.82 vol_a3_per_cell=91 pbc="T T T"
N -1.7464 -1.0325 0.2051
Te 1.2094 -1.6878 1.8008
N 0.5505 -1.2345 -1.5268
Bi 0.0134 -3.9548 0.4792
Cr 0.0000 0.0000 0.0000

Which structure is most stable, and how do the rest compare? From most to least stable: (ii), (i).

(i)
8
Lattice="-1.9765 -4.6225 -0.5904 4.4908 -1.7181 -1.5823 3.6517 -5.3668 8.0949" Properties=species:S:1:pos:R:3 comment="NaCrBi2, relaxed, DFT PBE-GGA" m_tot_mub_per_fu=4.48 vol_a3_per_cell=250 pbc="T T T"
Na 4.6998 -5.1276 2.7131
Bi 3.5863 -2.7274 0.9950
Bi 3.4232 -6.3040 5.3474
Bi 0.1252 -4.7115 1.4230
Cr 0.0000 0.0000 0.0000
Na 1.2571 -3.1703 -1.0863
Cr 1.4662 -6.5798 3.2091
Bi 5.1972 -9.6720 4.0790

(ii)
4
Lattice="0.0000 3.6979 3.6979 3.6979 0.0000 3.6979 3.6979 3.6979 0.0000" Properties=species:S:1:pos:R:3 comment="NaCrBi2, relaxed, DFT PBE-GGA" m_tot_mub_per_fu=3.98 vol_a3_per_cell=101 pbc="T T T"
Bi 5.5468 5.5468 5.5468
Bi 1.8489 1.8489 1.8489
Na 0.0000 0.0000 0.0000
Cr 3.6979 3.6979 3.6979

Which structure is most stable, and how do the rest compare? From most to least stable: (ii), (i).

(i)
5
Lattice="-4.7194 -1.2845 -3.4345 3.6166 -0.7074 -4.7051 0.6047 -5.7938 1.3359" Properties=species:S:1:pos:R:3 comment="Na3CrBi, relaxed, DFT PBE-GGA" m_tot_mub_per_fu=5.98 vol_a3_per_cell=213 pbc="T T T"
Na 1.8083 -0.3537 -2.3525
Bi 0.0000 0.0000 0.0000
Cr -0.2490 -3.8928 -3.4019
Na -2.3597 -0.6422 -1.7172
Na 0.3024 -2.8969 0.6679

(ii)
5
Lattice="-0.8639 2.2570 5.0108 2.7163 -4.2340 2.3755 4.7774 2.8155 -0.4446" Properties=species:S:1:pos:R:3 comment="Na3CrBi, relaxed, DFT PBE-GGA" m_tot_mub_per_fu=5.09 vol_a3_per_cell=172 pbc="T T T"
Na 1.3581 -2.1170 1.1877
Na 2.3887 1.4077 -0.2223
Na -0.4319 1.1285 2.5054
Cr 0.0000 0.0000 0.0000
Bi 3.3149 0.4192 3.4708

Which structure is most stable, and how do the rest compare? From most to least stable: (i), (ii).

(i)
4
Lattice="0.0000 3.3295 3.3295 3.3295 0.0000 3.3295 3.3295 3.3295 0.0000" Properties=species:S:1:pos:R:3 comment="Nb2CrBi, relaxed, DFT PBE-GGA" m_tot_mub_per_fu=0.01 vol_a3_per_cell=74 pbc="T T T"
Nb 4.9943 4.9943 4.9943
Cr 0.0000 0.0000 0.0000
Bi 3.3295 3.3295 3.3295
Nb 1.6648 1.6648 1.6648

(ii)
8
Lattice="-2.2757 -1.5021 2.9050 2.9246 -2.5185 0.9888 4.1324 5.0074 8.5585" Properties=species:S:1:pos:R:3 comment="Nb2CrBi, relaxed, DFT PBE-GGA" m_tot_mub_per_fu=2.98 vol_a3_per_cell=165 pbc="T T T"
Nb 3.3652 2.2284 7.8867
Nb 3.6445 0.2569 9.8183
Cr 0.3245 -2.0103 1.9469
Cr 3.6907 0.2393 5.7471
Nb -0.0061 0.0098 4.0564
Bi 1.0906 0.7475 6.7052
Bi 0.0000 0.0000 0.0000
Nb 2.5590 -0.5216 3.1431

Which structure is most stable, and how do the rest compare? From most to least stable: (i), (ii).

(i)
4
Lattice="3.2107 2.4492 2.0306 -1.1253 3.6797 2.3716 0.3481 -0.0219 4.5065" Properties=species:S:1:pos:R:3 comment="NbCr2Bi, relaxed, DFT PBE-GGA" m_tot_mub_per_fu=2.00 vol_a3_per_cell=65 pbc="T T T"
Cr 0.6084 1.5268 2.2272
Bi 1.2168 3.0535 4.4544
Cr 1.8251 4.5803 6.6815
Nb 0.0000 0.0000 0.0000

(ii)
8
Lattice="4.0967 0.0000 0.0000 0.0000 4.0967 0.0000 2.0483 2.0483 9.0620" Properties=species:S:1:pos:R:3 comment="NbCr2Bi, relaxed, DFT PBE-GGA" m_tot_mub_per_fu=0.00 vol_a3_per_cell=152 pbc="T T T"
Cr 5.1209 4.7565 6.7965
Bi 0.0000 0.0000 0.0000
Nb 2.0483 2.0483 0.0000
Cr 1.3885 3.0725 2.2655
Cr 3.0725 3.4369 6.7965
Bi 4.0967 2.0483 4.5310
Cr 2.7081 1.0242 2.2655
Nb 2.0483 4.0967 4.5310

Which structure is most stable, and how do the rest compare? From most to least stable: (i), (ii).